Entry 1:
{
  "formula": "KMn2Tl",
  "functional": "PBE-GGA",
  "state": "optimized geometry",
  "cell": [[4.9328, 0.0000, 0.0000], [0.0000, 3.1354, 0.0817], [0.0000, 0.9881, 7.0211]],
  "species": ["K", "Mn", "Mn", "Tl"],
  "fractional_positions": [[0.5000, 0.7500, 0.7500], [0.0000, 0.0430, 0.0953], [0.0000, 0.4570, 0.4047], [0.5000, 0.2500, 0.2500]],
  "crystal_system": "monoclinic",
  "formation_energy_mev_per_atom": 718,
  "magnetic_moment_mub_per_fu": 7.94,
  "spacegroup": "P2/m, No. 10",
  "dos_at_fermi_per_ev_cell": 3.84,
  "dft_energy_ev_per_atom": -4.733
}



Entry 2:
{
  "formula": "Pr5Te5Au",
  "functional": "PBE-GGA",
  "state": "optimized geometry",
  "cell": [[6.4000, 0.0000, 0.0000], [-3.2000, 7.1088, -0.0811], [0.0000, -2.7645, 8.5255]],
  "species": ["Pr", "Pr", "Pr", "Pr", "Pr", "Te", "Te", "Te", "Te", "Te", "Au"],
  "fractional_positions": [[0.8389, 0.6777, 0.1640], [0.8380, 0.6759, 0.6701], [0.5000, 0.0000, 0.0000], [0.1620, 0.3241, 0.3299], [0.1611, 0.3223, 0.8360], [0.6718, 0.3435, 0.3349], [0.6644, 0.3288, 0.8277], [0.0000, 0.0000, 0.5000], [0.3356, 0.6712, 0.1723], [0.3282, 0.6565, 0.6651], [0.0000, 0.0000, 0.0000]],
  "e_form_raw_ev_per_atom": -1.305,
  "crystal_system": "monoclinic",
  "magnetic_moment_mub_per_fu": 0.00,
  "spacegroup": "C2/m, No. 12",
  "dos_at_fermi_per_ev_cell": 9.93,
  "dft_energy_ev_per_atom": -5.203
}



Entry 3:
{
  "formula": "CaCoSn3",
  "functional": "PBE-GGA",
  "state": "optimized geometry",
  "cell": [[5.0111, 0.0000, 0.0000], [0.0000, 5.0111, 0.0000], [0.0000, 0.0000, 5.0111]],
  "species": ["Ca", "Co", "Sn", "Sn", "Sn"],
  "fractional_positions": [[0.5000, 0.5000, 0.5000], [0.0000, 0.0000, 0.0000], [0.0000, 0.5000, 0.0000], [0.0000, 0.0000, 0.5000], [0.5000, 0.0000, 0.0000]],
  "crystal_system": "cubic",
  "formation_energy_mev_per_atom": -107,
  "magnetic_moment_mub_per_fu": 0.00,
  "spacegroup": "Pm-3m, No. 221",
  "dos_at_fermi_per_ev_cell": 3.93,
  "dft_energy_ev_per_atom": -4.330
}



Entry 4:
{
  "formula": "Fe3Br",
  "functional": "PBE-GGA",
  "state": "optimized geometry",
  "cell": [[3.1385, 0.0000, 0.0000], [-1.5693, 2.7180, 0.0000], [0.0000, 0.0000, 7.3431]],
  "species": ["Br", "Fe", "Fe", "Fe"],
  "fractional_positions": [[0.0000, 0.0000, 0.0000], [0.0000, 0.0000, 0.5000], [0.6667, 0.3333, 0.2751], [0.6667, 0.3333, 0.7249]],
  "e_form_raw_ev_per_atom": 0.504,
  "crystal_system": "hexagonal",
  "magnetic_moment_mub_per_fu": 8.62,
  "spacegroup": "P-6m2, No. 187",
  "dos_at_fermi_per_ev_cell": 2.26,
  "dft_energy_ev_per_atom": -6.262
}



Entry 5:
{
  "formula": "SrPbCl2O",
  "functional": "PBE-GGA",
  "state": "optimized geometry",
  "cell": [[5.6925, 0.0000, 0.0000], [0.0000, 4.4854, 0.0000], [0.0000, 0.0000, 5.6925]],
  "species": ["Pb", "Sr", "O", "Cl", "Cl"],
  "fractional_positions": [[0.0000, 0.0000, 0.0000], [0.5000, 0.5000, 0.5000], [0.0000, 0.5000, 0.0000], [0.0000, 0.0000, 0.5000], [0.5000, 0.0000, 0.0000]],
  "e_form_raw_ev_per_atom": -1.197,
  "crystal_system": "tetragonal",
  "magnetic_moment_mub_per_fu": 0.00,
  "spacegroup": "P4/mmm, No. 123",
  "dos_at_fermi_per_ev_cell": 1.42,
  "dft_energy_ev_per_atom": -4.005
}



Entry 6:
{
  "formula": "Pm3NbCl2O6",
  "functional": "PBE-GGA",
  "state": "optimized geometry",
  "cell": [[-3.3932, 3.4385, -2.8987], [-3.8531, -5.2411, -1.7067], [-1.9282, 4.0782, 5.0796]],
  "species": ["Pm", "Pm", "Pm", "Nb", "Cl", "Cl", "O", "O", "O", "O", "O", "O"],
  "fractional_positions": [[0.0000, 0.5000, 0.0000], [0.5000, 0.5000, 0.5000], [0.5000, 0.0000, 0.5000], [0.5000, 0.0000, 0.0000], [0.1415, 0.7094, 0.4188], [0.8585, 0.2906, 0.5812], [0.7010, 0.2911, 0.1144], [0.2990, 0.7089, 0.8856], [0.6697, 0.8359, 0.6719], [0.3303, 0.1641, 0.3281], [0.2990, 0.1767, 0.8856], [0.7010, 0.8233, 0.1144]],
  "e_form_raw_ev_per_atom": -2.645,
  "crystal_system": "monoclinic",
  "magnetic_moment_mub_per_fu": 0.00,
  "spacegroup": "C2/m, No. 12",
  "dos_at_fermi_per_ev_cell": 0.00,
  "dft_energy_ev_per_atom": -7.459
}



Entry 7:
{
  "formula": "AlAs2H",
  "functional": "PBE-GGA",
  "state": "optimized geometry",
  "cell": [[0.0000, 3.0977, 3.0977], [3.0977, 0.0000, 3.0977], [3.0977, 3.0977, 0.0000]],
  "species": ["H", "As", "As", "Al"],
  "fractional_positions": [[0.0000, 0.0000, 0.0000], [0.2500, 0.2500, 0.2500], [0.7500, 0.7500, 0.7500], [0.5000, 0.5000, 0.5000]],
  "crystal_system": "cubic",
  "magnetic_moment_mub_per_fu": 0.00,
  "spacegroup": "Fm-3m, No. 225",
  "dos_at_fermi_per_ev_cell": 2.86,
  "dft_energy_ev_per_atom": -3.627
}



Entry 8:
{
  "formula": "Cr5CoH4",
  "functional": "PBE-GGA",
  "state": "optimized geometry",
  "cell": [[-0.7607, -1.5820, -1.8887], [5.0078, -0.8061, 1.6117], [-1.0667, -4.0461, 4.8956]],
  "species": ["Cr", "Cr", "Cr", "Cr", "Cr", "Co", "H", "H", "H", "H"],
  "fractional_positions": [[0.7802, 0.8073, 0.6609], [0.7376, 0.3589, 0.6516], [0.2624, 0.6411, 0.3484], [0.5000, 0.5000, 0.0000], [0.2198, 0.1927, 0.3391], [0.5000, 0.0000, 0.0000], [0.4627, 0.0014, 0.7431], [0.8240, 0.7843, 0.1427], [0.5373, 0.9986, 0.2569], [0.1760, 0.2157, 0.8573]],
  "crystal_system": "triclinic",
  "magnetic_moment_mub_per_fu": 0.00,
  "spacegroup": "P-1, No. 2",
  "dos_at_fermi_per_ev_cell": 8.23,
  "dft_energy_ev_per_atom": -6.709
}